# 1
Below is a relaxed InNiCl2 crystal, with properties calculated at the GGA-PBE level.

The uncorrected formation energy is 16 meV per atom. The energy above the lowest structure with this stoichiometry is 489 meV per atom.

Lattice parameters (Å, degrees): 3.6010 4.1375 6.0094 90.00 90.00 90.00
Closest atoms and distances in Å follow each position.
Space group Pmmm (No. 47)
Unique sites:
In 0.0000 0.0000 0.0000  4 Cl 2.74
Ni 0.5000 0.0000 0.5000  4 Cl 2.74
Cl 0.0000 0.5000 0.5000  4 Ni 2.74
Cl 0.5000 0.5000 0.0000  4 In 2.74



# 2
Below is a relaxed Ca2AcIO8 crystal, with properties calculated at the GGA-PBE level.

The uncorrected formation energy is -1743 meV per atom.

Lattice parameters (Å, degrees): 4.7757 5.0578 7.4086 90.12 90.03 92.18
Closest atoms and distances in Å follow each position.
Space group P-1 (No. 2)
Unique sites:
Ca 0.0008 0.0011 0.2713  6 O 2.34-2.35
Ac 0.5000 0.5000 0.0000  8 O 2.58-2.87
I 0.5000 0.5000 0.5000  6 O 1.88-1.91
O 0.0243 0.2405 0.9999  2 Ca 2.35, 1 O 2.44, 1 Ac 2.58
O 0.1700 0.2859 0.5012  1 I 1.88
O 0.3702 0.7161 0.3094  1 I 1.91
O 0.3727 0.7180 0.6911  1 I 1.91



# 3
Below is a relaxed KScCd2 crystal, with properties calculated at the GGA-PBE level.

The calculated formation energy comes out at -0.066 eV/atom. The energy above the lowest structure with this stoichiometry is 0 meV per atom.

Lattice parameters (Å, degrees): 3.5784 3.7784 8.4120 90.00 90.00 90.00
Closest atoms and distances in Å follow each position.
Space group Pmmm (No. 47)
Unique sites:
K 0.0000 0.0000 0.0000  4 K 3.58-3.78, 8 Cd 3.68
Sc 0.0000 0.0000 0.5000  8 Cd 3.06
Cd 0.5000 0.5000 0.3097  4 Sc 3.06, 1 Cd 3.20



# 4
Below is a relaxed Hf5As5H2 crystal, with properties calculated at the GGA-PBE level.

The total energy comes out at -0.5376 Ry per atom.

Lattice parameters (Å, degrees): 13.0691 3.5521 11.0503 90.00 126.17 90.00
Closest atoms and distances in Å follow each position.
Space group C2/m (No. 12)
Unique sites:
Hf 0.0000 0.0000 0.0000  4 As 2.72
Hf 0.1061 0.0000 0.4253  1 H 2.10
Hf 0.1994 0.5000 0.7801  2 H 2.17
As 0.0000 0.5000 0.5000  6 Hf 2.62-2.67, 4 H 2.84
As 0.1515 0.5000 0.9890  5 Hf 2.72-2.76, 3 H 2.89-2.92, 2 As 3.02
As 0.1648 0.5000 0.2832  5 Hf 2.76-2.87
H 0.0898 0.0000 0.7442  3 Hf 2.10-2.17



| no. | magnetization (μB per cell) | D(E_F) (states/eV per atom) |
| --- | --- | --- |
| 1 | 0.787 | 1.021 |
| 2 | 0.870 | 0.440 |
| 3 | 0.000 | 0.984 |
| 4 | 0.000 | 0.449 |